# 1
V3CoF: optimized geometry, GGA+U.

```
5
Lattice="4.341 0.000 0.000 0.000 4.341 0.000 0.000 0.000 4.341" Properties=species:S:1:pos:R:3 pbc="T T T"
V 0.000 0.000 2.170
V 0.000 2.170 0.000
V 2.170 0.000 0.000
Co 2.170 2.170 2.170
F 0.000 0.000 0.000
```

Results
- DFT total energy: -5.199 eV per atom
- Spin magnetization: 2.022 μB/atom
- V: 16.4 A^3/atom

# 2
VCoF2: optimized geometry, GGA+U.

```
16
Lattice="4.328 0.000 0.000 0.000 4.328 0.000 0.000 0.000 12.897" Properties=species:S:1:pos:R:3 pbc="T T T"
V 0.000 0.000 0.000
V 0.000 2.164 3.224
V 2.164 0.000 9.673
V 2.164 2.164 6.448
Co 0.000 0.000 6.448
Co 0.000 2.164 9.673
Co 2.164 0.000 3.224
Co 2.164 2.164 0.000
F 0.864 1.082 1.612
F 1.082 3.029 4.836
F 1.082 3.464 11.285
F 1.300 1.082 8.060
F 3.029 3.246 8.060
F 3.246 0.864 11.285
F 3.246 1.300 4.836
F 3.464 3.246 1.612
```

Results
- DFT total energy: -4.926 eV per atom
- Spin magnetization: 1.304 μB/atom
- V: 15.1 A^3/atom

# 3
VCoF2: optimized geometry, GGA+U.

```
16
Lattice="5.876 0.000 0.000 0.000 5.876 0.000 0.000 0.000 5.876" Properties=species:S:1:pos:R:3 pbc="T T T"
V 0.000 0.000 0.000
V 0.000 2.938 2.938
V 2.938 0.000 2.938
V 2.938 2.938 0.000
Co 0.000 0.000 2.938
Co 0.000 2.938 0.000
Co 2.938 0.000 0.000
Co 2.938 2.938 2.938
F 1.469 1.469 1.469
F 1.469 1.469 4.407
F 1.469 4.407 1.469
F 1.469 4.407 4.407
F 4.407 1.469 1.469
F 4.407 1.469 4.407
F 4.407 4.407 1.469
F 4.407 4.407 4.407
```

Results
- DFT total energy: -4.478 eV per atom
- Spin magnetization: 1.492 μB/atom
- V: 12.7 A^3/atom

# 4
VCoF4: optimized geometry, GGA+U.

```
12
Lattice="6.815 0.000 0.000 0.000 6.856 0.000 0.000 0.000 3.261" Properties=species:S:1:pos:R:3 pbc="T T T"
V 0.000 0.000 0.000
V 3.407 3.428 0.000
Co 0.000 3.428 1.631
Co 3.407 0.000 1.631
F 0.000 2.125 0.000
F 0.000 4.730 0.000
F 1.365 0.000 1.631
F 2.042 3.428 1.631
F 3.407 1.302 0.000
F 3.407 5.553 0.000
F 4.772 3.428 1.631
F 5.450 0.000 1.631
```

Results
- DFT total energy: -5.739 eV per atom
- Spin magnetization: 1.000 μB/atom
- V: 12.7 A^3/atom

# 5
CoWF2: optimized geometry, GGA+U.

```
12
Lattice="2.825 0.000 0.000 -1.413 2.447 0.000 0.000 0.000 21.872" Properties=species:S:1:pos:R:3 pbc="T T T"
Co 0.000 0.000 0.000
Co 0.000 1.631 14.581
Co 1.413 0.816 7.291
W 0.000 0.000 10.936
W 0.000 1.631 3.645
W 1.413 0.816 18.226
F 0.000 0.000 8.786
F 0.000 0.000 13.085
F 0.000 1.631 1.496
F 0.000 1.631 5.795
F 1.413 0.816 16.077
F 1.413 0.816 20.376
```

Results
- DFT total energy: -4.617 eV per atom
- Spin magnetization: 0.750 μB/atom
- V: 12.6 A^3/atom

# 6
CoWF2: optimized geometry, GGA+U.

```
12
Lattice="2.778 0.000 0.000 -1.389 2.406 0.000 0.000 0.000 27.949" Properties=species:S:1:pos:R:3 pbc="T T T"
Co 0.000 0.000 0.000
Co 0.000 1.604 18.633
Co 1.389 0.802 9.316
W 0.000 0.000 13.974
W 0.000 1.604 4.658
W 1.389 0.802 23.291
F 0.000 0.000 3.077
F 0.000 0.000 24.871
F 0.000 1.604 15.555
F 0.000 1.604 21.710
F 1.389 0.802 6.239
F 1.389 0.802 12.394
```

Results
- DFT total energy: -4.393 eV per atom
- Spin magnetization: 0.545 μB/atom
- V: 15.6 A^3/atom

# 7
CoWF6: optimized geometry, GGA+U.

```
8
Lattice="5.233 0.000 0.000 2.552 4.636 0.000 2.567 1.486 4.821" Properties=species:S:1:pos:R:3 pbc="T T T"
Co 0.000 0.000 0.000
W 5.176 3.061 2.411
F 4.560 4.552 3.614
F 3.589 3.321 1.196
F 4.200 1.767 3.629
F 6.151 4.355 1.192
F 6.762 2.801 3.625
F 5.791 1.570 1.208
```

Results
- DFT total energy: -5.393 eV per atom
- Spin magnetization: 0.380 μB/atom
- V: 14.6 A^3/atom

# 8
Co2WF: optimized geometry, GGA+U.

```
16
Lattice="6.180 0.000 0.000 0.000 6.180 0.000 0.000 0.000 6.180" Properties=species:S:1:pos:R:3 pbc="T T T"
Co 1.545 1.545 1.545
Co 1.545 1.545 4.635
Co 1.545 4.635 1.545
Co 1.545 4.635 4.635
Co 4.635 1.545 1.545
Co 4.635 1.545 4.635
Co 4.635 4.635 1.545
Co 4.635 4.635 4.635
W 0.000 0.000 0.000
W 0.000 3.090 3.090
W 3.090 0.000 3.090
W 3.090 3.090 0.000
F 0.000 0.000 3.090
F 0.000 3.090 0.000
F 3.090 0.000 0.000
F 3.090 3.090 3.090
```

Results
- DFT total energy: -3.989 eV per atom
- Spin magnetization: 0.248 μB/atom
- V: 14.8 A^3/atom